Entry from the Alexandria database: crystalline RbNp2FeO8 at its relaxed geometry (PBE+U).

abc: 5.0200 5.0296 7.3744
angles: 88.42 88.37 84.75
Fractional coordinates of all 12 atoms:
Rb (0.0000, 0.0000, 0.0000)
Np (0.4864, 0.4862, 0.2712)
Np (0.5136, 0.5138, 0.7288)
Fe (0.0000, 0.0000, 0.5000)
O (0.2086, 0.7910, 0.6931)
O (0.2114, 0.7932, 0.3066)
O (0.3124, 0.3147, 0.4880)
O (0.3456, 0.3495, 0.9325)
O (0.6544, 0.6505, 0.0675)
O (0.6876, 0.6853, 0.5120)
O (0.7886, 0.2068, 0.6934)
O (0.7914, 0.2090, 0.3069)

Values from the calculation:
Space group: No. 2
VASP energy (eV/atom): -8.2352